one.
DFT (PBE) results for a relaxed TaInCoPd crystal.

Crystal system: cubic
Total moment in μB per cell: 0.3

Unit cell a=4.5147 b=4.5147 c=4.5147 alpha=60.00 beta=60.00 gamma=60.00
Fractional positions:
Co: 0.7500 0.7500 0.7500
In: 0.0000 0.0000 0.0000
Pd: 0.5000 0.5000 0.5000
Ta: 0.2500 0.2500 0.2500

=====

two.
DFT (PBE) results for a relaxed TaInCoPd crystal.

Crystal system: cubic
Total moment in μB per cell: 0.9

Unit cell a=4.4770 b=4.4770 c=4.4770 alpha=60.00 beta=60.00 gamma=60.00
Fractional positions:
Co: 0.7500 0.7500 0.7500
In: 0.0000 0.0000 0.0000
Pd: 0.2500 0.2500 0.2500
Ta: 0.5000 0.5000 0.5000

=====

two takes first place; second place is 0.314 eV/atom up.

=====

one.
DFT (PBE) results for a relaxed InCoPdW crystal.

Crystal system: cubic
Total moment in μB per cell: 0.2

Unit cell a=4.4450 b=4.4450 c=4.4450 alpha=60.00 beta=60.00 gamma=60.00
Fractional positions:
Co: 0.7500 0.7500 0.7500
In: 0.0000 0.0000 0.0000
Pd: 0.2500 0.2500 0.2500
W: 0.5000 0.5000 0.5000

=====

two.
DFT (PBE) results for a relaxed InCoPdW crystal.

Crystal system: cubic
Total moment in μB per cell: 0.1

Unit cell a=4.4367 b=4.4367 c=4.4367 alpha=60.00 beta=60.00 gamma=60.00
Fractional positions:
Co: 0.7500 0.7500 0.7500
In: 0.0000 0.0000 0.0000
Pd: 0.5000 0.5000 0.5000
W: 0.2500 0.2500 0.2500

=====

one takes first place; second place is 0.203 eV/atom up.

=====

one.
DFT (PBE) results for a relaxed InCoPtW crystal.

Crystal system: cubic
Total moment in μB per cell: 0.1

Unit cell a=4.4515 b=4.4515 c=4.4515 alpha=60.00 beta=60.00 gamma=60.00
Fractional positions:
Co: 0.7500 0.7500 0.7500
In: 0.0000 0.0000 0.0000
Pt: 0.5000 0.5000 0.5000
W: 0.2500 0.2500 0.2500

=====

two.
DFT (PBE) results for a relaxed InCoPtW crystal.

Crystal system: cubic
Total moment in μB per cell: 0.7

Unit cell a=4.4710 b=4.4710 c=4.4710 alpha=60.00 beta=60.00 gamma=60.00
Fractional positions:
Co: 0.7500 0.7500 0.7500
In: 0.0000 0.0000 0.0000
Pt: 0.2500 0.2500 0.2500
W: 0.5000 0.5000 0.5000

=====

two takes first place; second place is 0.088 eV/atom up.

=====

one.
DFT (PBE) results for a relaxed YInCoRe crystal.

Crystal system: cubic
Total moment in μB per cell: 3.4

Unit cell a=4.7281 b=4.7281 c=4.7281 alpha=60.00 beta=60.00 gamma=60.00
Fractional positions:
Co: 0.7500 0.7500 0.7500
In: 0.0000 0.0000 0.0000
Re: 0.5000 0.5000 0.5000
Y: 0.2500 0.2500 0.2500

=====

two.
DFT (PBE) results for a relaxed YInCoRe crystal.

Crystal system: cubic
Total moment in μB per cell: 1.7

Unit cell a=4.6747 b=4.6747 c=4.6747 alpha=60.00 beta=60.00 gamma=60.00
Fractional positions:
Co: 0.7500 0.7500 0.7500
In: 0.0000 0.0000 0.0000
Re: 0.2500 0.2500 0.2500
Y: 0.5000 0.5000 0.5000

=====

two takes first place; second place is 0.108 eV/atom up.

=====

one.
DFT (PBE) results for a relaxed ScInCoTc crystal.

Crystal system: cubic
Total moment in μB per cell: 2.8

Unit cell a=4.5519 b=4.5519 c=4.5519 alpha=60.00 beta=60.00 gamma=60.00
Fractional positions:
Co: 0.7500 0.7500 0.7500
In: 0.0000 0.0000 0.0000
Sc: 0.2500 0.2500 0.2500
Tc: 0.5000 0.5000 0.5000

=====

two.
DFT (PBE) results for a relaxed ScInCoTc crystal.

Crystal system: cubic
Total moment in μB per cell: 1.3

Unit cell a=4.5198 b=4.5198 c=4.5198 alpha=60.00 beta=60.00 gamma=60.00
Fractional positions:
Co: 0.7500 0.7500 0.7500
In: 0.0000 0.0000 0.0000
Sc: 0.5000 0.5000 0.5000
Tc: 0.2500 0.2500 0.2500

=====

two takes first place; second place is 0.119 eV/atom up.

=====

one.
DFT (PBE) results for a relaxed TaInCoTc crystal.

Crystal system: cubic
Total moment in μB per cell: 0.0

Unit cell a=4.4517 b=4.4517 c=4.4517 alpha=60.00 beta=60.00 gamma=60.00
Fractional positions:
Co: 0.7500 0.7500 0.7500
In: 0.0000 0.0000 0.0000
Ta: 0.5000 0.5000 0.5000
Tc: 0.2500 0.2500 0.2500

=====

two.
DFT (PBE) results for a relaxed TaInCoTc crystal.

Crystal system: cubic
Total moment in μB per cell: 2.1

Unit cell a=4.5134 b=4.5134 c=4.5134 alpha=60.00 beta=60.00 gamma=60.00
Fractional positions:
Co: 0.7500 0.7500 0.7500
In: 0.0000 0.0000 0.0000
Ta: 0.2500 0.2500 0.2500
Tc: 0.5000 0.5000 0.5000

=====

one takes first place; second place is 0.434 eV/atom up.